Below is Tb6PmDy2Sc after structural relaxation, with properties calculated at the PBE-GGA level.

Unit cell a=9.087 b=9.087 c=8.772 alpha=91.08 beta=91.08 gamma=118.55
Fractional coordinates of all 20 atoms:
Tb1 0.041 0.458 0.794
Tb2 0.133 0.789 0.552
Tb3 0.211 0.867 0.948
Tb4 0.268 0.523 0.406
Tb5 0.458 0.041 0.294
Tb6 0.477 0.732 0.094
Tb7 0.523 0.268 0.906
Tb8 0.542 0.959 0.706
Tb9 0.732 0.477 0.594
Tb10 0.789 0.133 0.052
Tb11 0.867 0.211 0.448
Tb12 0.959 0.542 0.206
Pm1 0.032 0.968 0.250
Pm2 0.968 0.032 0.750
Dy1 0.210 0.322 0.056
Dy2 0.322 0.210 0.556
Dy3 0.678 0.790 0.444
Dy4 0.790 0.678 0.944
Sc1 0.440 0.560 0.750
Sc2 0.560 0.440 0.250

Values from the calculation:
Volume, A^3/atom: 31.788
Calculated formation energy, eV per atom: 0.13
Energy, eV per atom: -4.68
Space-group type: C2/c
Theoretical density, Mg/m³: 7.67
Crystal system: monoclinic

Below is YTa2As after structural relaxation, with properties calculated at the PBE-GGA level.

Unit cell a=8.791 b=8.791 c=8.791 alpha=22.12 beta=22.12 gamma=22.12
Fractional coordinates of all 4 atoms:
Y1 0.000 0.000 0.000
Ta1 0.513 0.513 0.513
Ta2 0.766 0.766 0.766
As1 0.248 0.248 0.248

Values from the calculation:
Volume, A^3/atom: 21.113
Calculated formation energy, eV per atom: -0.05
Energy, eV per atom: -8.76
Space-group type: R3m
Theoretical density, Mg/m³: 10.34
Crystal system: trigonal

Below is ZrCoOs2 after structural relaxation, with properties calculated at the PBE-GGA level.

Unit cell a=2.823 b=2.823 c=7.581 alpha=90.00 beta=90.00 gamma=90.00
Fractional coordinates of all 4 atoms:
Zr1 0.000 0.000 0.000
Co1 0.500 0.500 0.259
Os1 0.000 0.000 0.478
Os2 0.500 0.500 0.705

Values from the calculation:
Volume, A^3/atom: 15.101
Calculated formation energy, eV per atom: 0.04
Energy, eV per atom: -9.48
Energy above the lowest structure with this stoichiometry, meV per atom: 79.6
Space-group type: P4mm
Theoretical density, Mg/m³: 14.59
Crystal system: tetragonal

Below is Er3Ga5O12 after structural relaxation, with properties calculated at the PBE-GGA level.

Unit cell a=10.696 b=10.696 c=10.696 alpha=109.47 beta=109.47 gamma=109.47
Fractional coordinates of all 80 atoms:
Er1 0.125 0.250 0.375
Er2 0.125 0.375 0.750
Er3 0.250 0.375 0.125
Er4 0.250 0.875 0.625
Er5 0.375 0.125 0.250
Er6 0.375 0.750 0.125
Er7 0.625 0.250 0.875
Er8 0.625 0.875 0.750
Er9 0.750 0.125 0.375
Er10 0.750 0.625 0.875
Er11 0.875 0.625 0.250
Er12 0.875 0.750 0.625
Ga1 0.000 0.000 0.000
Ga2 0.000 0.000 0.500
Ga3 0.000 0.500 0.000
Ga4 0.000 0.500 0.500
Ga5 0.125 0.750 0.875
Ga6 0.125 0.875 0.250
Ga7 0.250 0.125 0.875
Ga8 0.250 0.625 0.375
Ga9 0.375 0.250 0.625
Ga10 0.375 0.625 0.750
Ga11 0.500 0.000 0.000
Ga12 0.500 0.000 0.500
Ga13 0.500 0.500 0.000
Ga14 0.500 0.500 0.500
Ga15 0.625 0.375 0.250
Ga16 0.625 0.750 0.375
Ga17 0.750 0.375 0.625
Ga18 0.750 0.875 0.125
Ga19 0.875 0.125 0.750
Ga20 0.875 0.250 0.125
O1 0.030 0.207 0.124
O2 0.030 0.323 0.906
O3 0.083 0.707 0.677
O4 0.083 0.876 0.406
O5 0.094 0.624 0.417
O6 0.094 0.970 0.677
O7 0.124 0.030 0.207
O8 0.124 0.594 0.917
O9 0.177 0.207 0.583
O10 0.177 0.470 0.594
O11 0.207 0.124 0.030
O12 0.207 0.583 0.177
O13 0.293 0.323 0.917
O14 0.293 0.470 0.376
O15 0.323 0.906 0.030
O16 0.323 0.917 0.293
O17 0.376 0.293 0.470
O18 0.376 0.583 0.906
O19 0.406 0.083 0.876
O20 0.406 0.823 0.530
O21 0.417 0.094 0.624
O22 0.417 0.823 0.793
O23 0.470 0.376 0.293
O24 0.470 0.594 0.177
O25 0.530 0.406 0.823
O26 0.530 0.624 0.707
O27 0.583 0.177 0.207
O28 0.583 0.906 0.376
O29 0.594 0.177 0.470
O30 0.594 0.917 0.124
O31 0.624 0.417 0.094
O32 0.624 0.707 0.530
O33 0.677 0.083 0.707
O34 0.677 0.094 0.970
O35 0.707 0.530 0.624
O36 0.707 0.677 0.083
O37 0.793 0.417 0.823
O38 0.793 0.876 0.970
O39 0.823 0.530 0.406
O40 0.823 0.793 0.417
O41 0.876 0.406 0.083
O42 0.876 0.970 0.793
O43 0.906 0.030 0.323
O44 0.906 0.376 0.583
O45 0.917 0.124 0.594
O46 0.917 0.293 0.323
O47 0.970 0.677 0.094
O48 0.970 0.793 0.876

Values from the calculation:
Volume, A^3/atom: 11.773
Energy, eV per atom: -6.98
Space-group type: Ia-3d
Theoretical density, Mg/m³: 7.35
ΔE_f (raw), kJ/mol of formula units: -4950
Crystal system: cubic

Below is PmHo7In4 after structural relaxation, with properties calculated at the PBE-GGA level.

Unit cell a=7.755 b=7.755 c=10.490 alpha=121.30 beta=121.30 gamma=42.67
Fractional coordinates of all 12 atoms:
Pm1 0.000 0.000 0.000
Ho1 0.064 0.064 0.396
Ho2 0.211 0.211 0.876
Ho3 0.283 0.283 0.344
Ho4 0.500 0.500 0.000
Ho5 0.717 0.717 0.656
Ho6 0.789 0.789 0.124
Ho7 0.936 0.936 0.604
In1 0.318 0.318 0.667
In2 0.438 0.438 0.240
In3 0.562 0.562 0.760
In4 0.682 0.682 0.333

Values from the calculation:
Volume, A^3/atom: 29.576
Calculated formation energy, eV per atom: -0.09
Energy, eV per atom: -4.07
Space-group type: C2/m
Theoretical density, Mg/m³: 8.23
Crystal system: monoclinic

Below is Tb6Ho3ErSc2 after structural relaxation, with properties calculated at the PBE-GGA level.

Unit cell a=6.068 b=6.068 c=11.540 alpha=95.02 beta=95.02 gamma=119.95
Fractional coordinates of all 12 atoms:
Tb1 0.082 0.418 0.755
Tb2 0.246 0.246 0.245
Tb3 0.418 0.082 0.755
Tb4 0.582 0.918 0.245
Tb5 0.754 0.754 0.755
Tb6 0.918 0.582 0.245
Ho1 0.000 0.000 0.500
Ho2 0.333 0.667 0.500
Ho3 0.667 0.333 0.500
Er1 0.500 0.500 0.000
Sc1 0.167 0.833 0.000
Sc2 0.833 0.167 0.000

Values from the calculation:
Volume, A^3/atom: 30.203
Calculated formation energy, eV per atom: 0.04
Energy, eV per atom: -4.86
Space-group type: C2/m
Theoretical density, Mg/m³: 7.81
Crystal system: monoclinic